Record 1
Ta2Br, optimized geometry, DFT PBE; formation energy (no corrections) = 2.2 eV per formula unit; relative energy among the computed polymorphs = 67.86 kJ/mol of atoms; ρ = 12.70 g/cm3
1.0
1.491 -7.848 0.000
1.491 7.848 0.000
0.000 0.000 4.936
Ta Br
4 2
Cartesian
1.491 -7.203 3.702
1.491 3.308 3.702
1.491 -3.308 1.234
1.491 7.203 1.234
1.491 -2.151 3.702
1.491 2.151 1.234

Record 2
AgSCl2O, optimized geometry, DFT PBE; formation energy (no corrections) = 1.5 eV per formula unit; relative energy among the computed polymorphs = 0.00 kJ/mol of atoms; ρ = 3.34 g/cm3
1.0
-3.210 4.546 -1.889
-0.965 -2.792 -5.080
-2.684 -1.371 1.263
S O Ag Cl
1 1 1 2
Cartesian
-1.342 -0.685 0.632
0.000 0.000 0.000
-3.430 0.191 -2.853
-0.483 -1.396 -2.540
-1.605 2.273 -0.944

Record 3
NaScZn4, optimized geometry, DFT PBE; E = -2.236 eV/atom; ρ = 5.15 g/cm3
1.0
5.317 0.000 0.000
2.658 4.605 0.000
2.658 1.535 4.341
Sc Na Zn
1 1 4
Cartesian
0.000 0.000 0.000
2.658 1.535 1.085
5.317 3.070 0.535
5.317 1.528 2.716
6.652 3.841 2.716
3.982 3.841 2.716

Record 4
Li2MnH4, optimized geometry, DFT PBE; relative energy among the computed polymorphs = 11.45 kJ/mol of atoms; ρ = 1.90 g/cm3
1.0
-5.335 0.704 1.713
0.531 -4.434 3.457
3.657 4.286 0.327
Li Mn H
4 2 8
Cartesian
-0.393 1.991 2.612
-1.956 -2.369 4.177
-2.221 -0.152 2.449
2.275 1.640 1.756
0.892 -1.007 3.185
-1.147 0.556 5.496
-3.617 1.149 2.024
-0.826 -1.452 2.873
-1.613 1.082 3.837
-1.866 3.203 2.182
-1.064 0.815 1.204
0.828 2.900 1.387
1.080 0.779 3.042
-3.378 -1.118 3.694

Record 5
PaTlCuNi, optimized geometry, DFT PBE; E = -5.464 eV/atom; ρ = 12.53 g/cm3
1.0
4.710 0.000 0.000
2.355 4.079 0.000
2.355 1.360 3.846
Ni Tl Pa Cu
1 1 1 1
Cartesian
2.355 1.360 0.961
4.710 2.719 1.923
0.000 0.000 0.000
7.065 4.079 2.884

Record 6
PuCd8Cu4, optimized geometry, DFT PBE; E = -2.929 eV/atom; ρ = 9.24 g/cm3
1.0
4.978 0.000 2.001
2.489 6.843 1.000
-0.063 0.000 7.349
Pu Cd Cu
1 8 4
Cartesian
0.000 0.000 0.000
0.807 2.333 5.185
1.619 4.509 3.165
3.296 4.509 6.185
4.108 2.333 4.166
4.427 5.364 3.373
2.978 1.478 6.978
1.938 1.478 2.372
5.467 5.364 7.979
-0.031 0.000 3.675
2.458 0.000 4.675
1.245 3.421 0.500
3.734 3.421 1.501

The highest ρ belongs to which entry?
Ta2Br